(1)
Computed, not measured: a PBEsol-optimized structure of Na2TeSe2 at the SCAN level of DFT.

Properties
Size of the total moment (μB per formula unit): 0.0
Final energy (eV per atom): -17.91

Unit cell a=4.052 b=7.750 c=7.750 alpha=90.00 beta=90.00 gamma=90.00
Sites, in units of the cell vectors:
Se 0.000 0.826 0.674
Se 0.000 0.174 0.326
Se 0.000 0.326 0.826
Se 0.000 0.674 0.174
Te 0.000 0.000 0.000
Te 0.000 0.500 0.500
Na 0.500 0.861 0.361
Na 0.500 0.639 0.861
Na 0.500 0.361 0.139
Na 0.500 0.139 0.639

(2)
Computed, not measured: a PBEsol-optimized structure of NaTi5Se8 at the SCAN level of DFT.

Properties
Size of the total moment (μB per formula unit): 0.0
Final energy (eV per atom): -18.80

Unit cell a=3.497 b=8.942 c=9.439 alpha=104.64 beta=100.68 gamma=90.00
Sites, in units of the cell vectors:
Ti 0.000 0.000 0.000
Ti 0.290 0.650 0.581
Ti 0.351 0.010 0.702
Ti 0.710 0.350 0.419
Ti 0.649 0.990 0.298
Na 0.500 0.500 0.000
Se 0.242 0.158 0.483
Se 0.918 0.197 0.837
Se 0.574 0.181 0.148
Se 0.842 0.498 0.683
Se 0.426 0.819 0.852
Se 0.758 0.842 0.517
Se 0.158 0.502 0.317
Se 0.082 0.803 0.163